This record from the Alexandria database describes a relaxed Cd3Ag2Pd3 crystal. The functional is PBE-GGA.

Values from the calculation:
Energy above the most stable polymorph in this dataset   0.0 meV per atom
DOS at the Fermi energy   0.3012 states/eV per atom
Magnetization   0.00 μB/f.u.
DFT formation energy   -2.13 eV per formula unit
E_tot   -3.270 eV per atom

abc: 18.276 3.621 4.400
angles: 90.00 103.55 90.00
Space group C2/m (No. 12)
Inequivalent atoms, fractional coordinates:
Cd (0.000, 0.000, 0.000) (multiplicity 2)
Cd (0.125, 0.000, 0.623) (multiplicity 4)
Ag (0.249, 0.000, 0.249) (multiplicity 4)
Pd (0.000, 0.500, 0.500) (multiplicity 2)
Pd (0.122, 0.500, 0.120) (multiplicity 4)